SrLiTb: relaxed, PBE-GGA.

It has space group I4mm (No. 107), with a = 3.839 Å, b = 3.839 Å, c = 13.927 Å, α = 90.00°, β = 90.00° and γ = 90.00°. The inequivalent atoms are Sr at (0.000, 0.000, 0.000), Li at (0.000, 0.000, 0.664) and Tb at (0.000, 0.000, 0.294).

The magnetic moment is 0.35 μB/f.u.

---

Mg2ReWBr: relaxed, PBE-GGA.

It has space group P4/mmm (No. 123), with a = 5.335 Å, b = 5.335 Å, c = 4.646 Å, α = 90.00°, β = 90.00° and γ = 90.00°. The inequivalent atoms are Mg at (0.000, 0.500, 0.000), Re at (0.000, 0.000, 0.000), W at (0.000, 0.000, 0.500) and Br at (0.500, 0.500, 0.500).

The magnetic moment is 0.86 μB/f.u.

---

ScNbNi: relaxed, PBE-GGA.

It has space group Ima2 (No. 46), with a = 4.449 Å, b = 7.677 Å, c = 6.170 Å, α = 90.00°, β = 90.00° and γ = 90.00°. The inequivalent atoms are Sc at (0.250, 0.185, 0.000), Nb at (0.250, 0.601, 0.169) and Ni at (0.250, 0.581, 0.774).

Its excess energy over the best structure of this formula in the dataset is 0.080 eV per atom. The magnetic moment is 0.00 μB/f.u.

---

Tb5Tm4In: relaxed, PBE-GGA.

It has space group P4/mmm (No. 123), with a = 3.531 Å, b = 3.531 Å, c = 24.308 Å, α = 90.00°, β = 90.00° and γ = 90.00°. The inequivalent atoms are Tb at (0.000, 0.000, 0.000), Tb at (0.000, 0.000, 0.205), Tb at (0.000, 0.000, 0.411), Tm at (0.500, 0.500, 0.103), Tm at (0.500, 0.500, 0.308) and In at (0.500, 0.500, 0.500).

Its excess energy over the best structure of this formula in the dataset is 0.000 eV per atom. The magnetic moment is 0.00 μB/f.u.

---

SiW3: relaxed, PBE-GGA.

It has space group P-6m2 (No. 187), with a = 2.8884 Å, b = 2.8884 Å, c = 8.6148 Å, α = 90.00°, β = 90.00° and γ = 120.00°. The inequivalent atoms are Si at (0.0000, 0.0000, 0.0000), W at (0.0000, 0.0000, 0.5000) and W at (0.6667, 0.3333, 0.2323).

The magnetic moment is 0.00 μB/f.u.

---

KTl2HgH: relaxed, PBE-GGA.

It has space group P4/mmm (No. 123), with a = 4.988 Å, b = 4.988 Å, c = 5.489 Å, α = 90.00°, β = 90.00° and γ = 90.00°. The inequivalent atoms are K at (0.000, 0.000, 0.000), Tl at (0.000, 0.500, 0.500), Hg at (0.500, 0.500, 0.000) and H at (0.500, 0.500, 0.500).

Its excess energy over the best structure of this formula in the dataset is 0.089 eV per atom. The magnetic moment is 0.00 μB/f.u.

---

TaAgRu2: relaxed, PBE-GGA.

It has space group R3m (No. 160, hexagonal axes), with a = 2.8066 Å, b = 2.8066 Å, c = 28.1297 Å, α = 90.00°, β = 90.00° and γ = 120.00°. The inequivalent atoms are Ta at (0.0000, 0.0000, 0.0000), Ag at (0.0000, 0.0000, 0.2433), Ru at (0.0000, 0.0000, 0.4898) and Ru at (0.0000, 0.0000, 0.7510).

Its excess energy over the best structure of this formula in the dataset is 0.190 eV per atom. The magnetic moment is 0.00 μB/f.u.

---

Pu4ZrS5: relaxed, PBE-GGA.

It has space group I4/mmm (No. 139), with a = 3.908 Å, b = 3.908 Å, c = 27.501 Å, α = 90.00°, β = 90.00° and γ = 90.00°. The inequivalent atoms are Pu at (0.000, 0.000, 0.097), Pu at (0.000, 0.000, 0.301), Zr at (0.000, 0.000, 0.500), S at (0.000, 0.000, 0.000), S at (0.000, 0.000, 0.199) and S at (0.000, 0.000, 0.403).

The magnetic moment is 22.36 μB/f.u.

---

TbGd2Th: relaxed, PBE-GGA.

It has space group Fm-3m (No. 225), with a = 8.061 Å, b = 8.061 Å, c = 8.061 Å, α = 90.00°, β = 90.00° and γ = 90.00°. The inequivalent atoms are Tb at (0.000, 0.000, 0.000), Gd at (0.250, 0.250, 0.250) and Th at (0.000, 0.000, 0.500).

Its excess energy over the best structure of this formula in the dataset is 0.120 eV per atom. The magnetic moment is 16.59 μB/f.u.

---

ZnRhN2: relaxed, PBE-GGA.

It has space group I-42d (No. 122), with a = 4.715 Å, b = 4.715 Å, c = 8.883 Å, α = 90.00°, β = 90.00° and γ = 90.00°. The inequivalent atoms are Zn at (0.000, 0.000, 0.000), Rh at (0.000, 0.000, 0.500) and N at (0.238, 0.250, 0.625).

The magnetic moment is 0.00 μB/f.u.

---

Tb2TmZn2Ge2: relaxed, PBE-GGA.

It has space group R-3m (No. 166, hexagonal axes), with a = 4.1192 Å, b = 4.1192 Å, c = 33.0987 Å, α = 90.00°, β = 90.00° and γ = 120.00°. The inequivalent atoms are Tb at (0.0000, 0.0000, 0.1231), Tm at (0.0000, 0.0000, 0.0000), Zn at (0.0000, 0.0000, 0.3877) and Ge at (0.0000, 0.0000, 0.2656).

The magnetic moment is 0.00 μB/f.u.

---

TaNiOs: relaxed, PBE-GGA.

It has space group Amm2 (No. 38), with a = 4.446 Å, b = 8.538 Å, c = 4.638 Å, α = 90.00°, β = 90.00° and γ = 90.00°. The inequivalent atoms are Ta at (0.000, 0.000, 0.000), Ta at (0.500, 0.000, 0.434), Ni at (0.000, 0.173, 0.548) and Os at (0.500, 0.174, 0.909).

Its excess energy over the best structure of this formula in the dataset is 0.221 eV per atom. The magnetic moment is 0.00 μB/f.u.

---

NiGe2Pd: relaxed, PBE-GGA.

It has space group R-3m (No. 166, hexagonal axes), with a = 2.9272 Å, b = 2.9272 Å, c = 26.0301 Å, α = 90.00°, β = 90.00° and γ = 120.00°. The inequivalent atoms are Ni at (0.0000, 0.0000, 0.0000), Ge at (0.0000, 0.0000, 0.0879) and Pd at (0.0000, 0.0000, 0.5000).

Its excess energy over the best structure of this formula in the dataset is 0.396 eV per atom. The magnetic moment is 0.01 μB/f.u.

---

ScTlIr: relaxed, PBE-GGA.

It has space group Imm2 (No. 44), with a = 3.228 Å, b = 3.845 Å, c = 9.277 Å, α = 90.00°, β = 90.00° and γ = 90.00°. The inequivalent atoms are Sc at (0.000, 0.000, 0.000), Tl at (0.000, 0.000, 0.687) and Ir at (0.000, 0.000, 0.364).

The magnetic moment is 0.00 μB/f.u.

---

Ac2PrSbO8: relaxed, PBE-GGA.

It has space group P2/m (No. 10), with a = 4.501 Å, b = 7.384 Å, c = 5.685 Å, α = 90.00°, β = 92.40° and γ = 90.00°. The inequivalent atoms are Ac at (0.000, 0.246, 0.000), Pr at (0.500, 0.500, 0.500), Sb at (0.500, 0.000, 0.500), O at (0.044, 0.500, 0.251), O at (0.071, 0.000, 0.385) and O at (0.459, 0.202, 0.737).

The magnetic moment is 0.00 μB/f.u.

---

VSnPd5: relaxed, PBE-GGA.

It has space group P4/mmm (No. 123), with a = 4.553 Å, b = 4.553 Å, c = 5.733 Å, α = 90.00°, β = 90.00° and γ = 90.00°. The inequivalent atoms are V at (0.000, 0.000, 0.000), Sn at (0.500, 0.500, 0.500), Pd at (0.000, 0.000, 0.500) and Pd at (0.000, 0.500, 0.233).

The magnetic moment is 1.18 μB/f.u.

---

ZrB2Ru: relaxed, PBE-GGA.

It has space group I4_1/amd (No. 141, origin choice 2), with a = 3.915 Å, b = 3.915 Å, c = 14.386 Å, α = 90.00°, β = 90.00° and γ = 90.00°. The inequivalent atoms are Zr at (0.000, 0.250, 0.375), B at (0.000, 0.000, 0.000) and Ru at (0.000, 0.250, 0.875).

Its excess energy over the best structure of this formula in the dataset is 0.318 eV per atom. The magnetic moment is 0.00 μB/f.u.

---

LaNdPt10: relaxed, PBE-GGA.

It has space group Pmmm (No. 47), with a = 4.437 Å, b = 5.448 Å, c = 9.403 Å, α = 90.00°, β = 90.00° and γ = 90.00°. The inequivalent atoms are La at (0.000, 0.000, 0.000), Nd at (0.000, 0.500, 0.500), Pt at (0.000, 0.000, 0.334), Pt at (0.000, 0.500, 0.168), Pt at (0.500, 0.000, 0.500), Pt at (0.500, 0.251, 0.251) and Pt at (0.500, 0.500, 0.000).

The magnetic moment is 0.00 μB/f.u.

---

ErAlPd3: relaxed, PBE-GGA.

It has space group Imma (No. 74), with a = 5.516 Å, b = 7.762 Å, c = 8.542 Å, α = 90.00°, β = 90.00° and γ = 90.00°. The inequivalent atoms are Er at (0.000, 0.250, 0.001), Al at (0.000, 0.000, 0.500), Pd at (0.000, 0.250, 0.328) and Pd at (0.250, 0.058, 0.750).

The magnetic moment is 0.00 μB/f.u.

---

Th3SnIr8: relaxed, PBE-GGA.

It has space group R3m (No. 160, hexagonal axes), with a = 5.4527 Å, b = 5.4527 Å, c = 26.4861 Å, α = 90.00°, β = 90.00° and γ = 120.00°. The inequivalent atoms are Th at (0.0000, 0.0000, 0.0000), Th at (0.0000, 0.0000, 0.1286), Th at (0.0000, 0.0000, 0.6150), Sn at (0.0000, 0.0000, 0.4883), Ir at (0.0000, 0.0000, 0.3115), Ir at (0.0000, 0.0000, 0.8123), Ir at (0.0032, 0.5016, 0.5619) and Ir at (0.1675, 0.3350, 0.3940).

The magnetic moment is 0.00 μB/f.u.

---

K2Ga2H7: relaxed, PBE-GGA.

It has space group C2/m (No. 12), with a = 8.222 Å, b = 9.143 Å, c = 4.738 Å, α = 90.00°, β = 99.02° and γ = 90.00°. The inequivalent atoms are K at (0.000, 0.240, 0.000), Ga at (0.228, 0.500, 0.474), H at (0.000, 0.500, 0.500), H at (0.179, 0.000, 0.202) and H at (0.224, 0.144, 0.689).

The magnetic moment is 0.00 μB/f.u.

---

VCr2Tc2: relaxed, PBE-GGA.

It has space group C2/m (No. 12), with a = 8.932 Å, b = 4.167 Å, c = 7.671 Å, α = 90.00°, β = 107.90° and γ = 90.00°. The inequivalent atoms are V at (0.217, 0.000, 0.341), Cr at (0.062, 0.000, 0.892), Cr at (0.118, 0.000, 0.619), Tc at (0.046, 0.500, 0.344) and Tc at (0.156, 0.500, 0.053).

The magnetic moment is 0.00 μB/f.u.

---

KBa2Ta: relaxed, PBE-GGA.

It has space group Imm2 (No. 44), with a = 3.538 Å, b = 5.676 Å, c = 19.275 Å, α = 90.00°, β = 90.00° and γ = 90.00°. The inequivalent atoms are K at (0.000, 0.000, 0.000), Ba at (0.000, 0.000, 0.323), Ba at (0.000, 0.500, 0.166) and Ta at (0.000, 0.500, 0.675).

Its excess energy over the best structure of this formula in the dataset is 0.183 eV per atom. The magnetic moment is 0.00 μB/f.u.

---

Ti2CuPdPt2: relaxed, PBE-GGA.

It has space group Ibam (No. 72), with a = 5.260 Å, b = 13.663 Å, c = 5.289 Å, α = 90.00°, β = 90.00° and γ = 90.00°. The inequivalent atoms are Ti at (0.211, 0.171, 0.000), Cu at (0.000, 0.500, 0.250), Pd at (0.000, 0.000, 0.250) and Pt at (0.210, 0.355, 0.000).

The magnetic moment is 0.00 μB/f.u.

---

no.,total DFT energy (no corrections) (eV per atom),density of states at the Fermi level (states/eV/cell)
1,-2.556,9.1
2,-4.960,4.2
3,-7.486,10.3
4,-4.452,13.5
5,-10.850,3.7
6,-1.766,2.7
7,-8.054,10.8
8,-10.336,64.8
9,-9.898,26.0
10,-5.834,7.4
11,-4.079,17.5
12,-9.743,14.1
13,-5.030,9.9
14,-6.204,2.1
15,-7.184,0.0
16,-5.768,5.1
17,-7.867,6.7
18,-6.589,8.6
19,-5.548,8.2
20,-8.750,24.7
21,-2.950,5.3
22,-9.714,17.8
23,-3.193,7.6
24,-6.797,22.7